# RbSrMoO4, optimized geometry, DFT PBE+U
# - E_tot (eV per formula unit) = -43.7
data_RbSrMoO4
_chemical_formula_sum 'Rb2 Sr2 Mo2 O8'
_space_group_name_H-M_alt 'P 1 21/m 1'
_space_group_IT_number 11
_cell_length_a 6.4617
_cell_length_b 6.3077
_cell_length_c 7.6636
_cell_angle_alpha 90.00
_cell_angle_beta 105.23
_cell_angle_gamma 90.00
loop_
_space_group_symop_operation_xyz
'x,y,z'
'-x,-y,-z'
'-x,y+1/2,-z'
'x,-y+1/2,z'
loop_
_atom_site_label
_atom_site_fract_x
_atom_site_fract_y
_atom_site_fract_z
Rb1 0.2268 0.2500 0.4338
Sr1 0.3173 0.2500 0.9505
Mo1 0.2118 0.7500 0.1562
O1 0.0436 0.7500 0.9246
O2 0.0558 0.7500 0.3251
O3 0.4231 0.5303 0.1819